Sr2ZrOsN6, optimized geometry, DFT PBE-GGA; crystal system = trigonal; M_tot = 0.0 μB/f.u.; E_tot = -7.34 eV/atom
1.0
5.610 0.000 0.000
-2.805 4.858 0.000
0.000 0.000 10.694
Zr N Os Sr
2 12 2 4
Direct
0.667 0.333 0.250
0.333 0.667 0.750
0.784 0.094 0.136
0.906 0.216 0.364
0.906 0.690 0.136
0.690 0.906 0.636
0.690 0.784 0.864
0.094 0.784 0.636
0.216 0.906 0.864
0.310 0.094 0.364
0.310 0.216 0.136
0.094 0.310 0.864
0.216 0.310 0.636
0.784 0.690 0.364
0.000 0.000 0.750
0.000 0.000 0.250
0.333 0.667 0.436
0.667 0.333 0.564
0.667 0.333 0.936
0.333 0.667 0.064